# PmDy2Zn2Sn2

PmDy2Zn2Sn2 after structural relaxation (GGA-PBE, the Alexandria database).

Computed properties:
As for the space group: R-3m, No. 166. As for the total energy: -3.85 eV per atom.

a = 9.7340 Å, b = 9.7340 Å, c = 9.7340 Å
α = 27.73°, β = 27.73°, γ = 27.73°
With the nearest neighbours (Å) after each atom.
Atoms (fractional coordinates):
Pm  0.0000  0.0000  0.0000  6 Sn 3.29, 6 Zn 3.66
Dy  0.1317  0.1317  0.1317  3 Zn 2.96, 3 Sn 3.24
Dy  0.8683  0.8683  0.8683  3 Zn 2.96, 3 Sn 3.24
Zn  0.4214  0.4214  0.4214  3 Sn 2.75, 3 Dy 2.96
Zn  0.5786  0.5786  0.5786  3 Sn 2.75, 3 Dy 2.96
Sn  0.2658  0.2658  0.2658  3 Zn 2.75
Sn  0.7342  0.7342  0.7342  3 Zn 2.75



# SrPmDy

SrPmDy after structural relaxation (GGA-PBE, the Alexandria database).

Computed properties:
As for the space group: P3m1, No. 156. As for the total energy: -3.55 eV per atom. The value obtained for the offset from the most stable computed form is 0.020 eV per atom.

a = 3.7558 Å, b = 3.7558 Å, c = 9.3535 Å
α = 90.00°, β = 90.00°, γ = 120.00°
With the nearest neighbours (Å) after each atom.
Atoms (fractional coordinates):
Sr  0.0000  0.0000  0.0000  6 Sr 3.76, 3 Dy 3.91, 3 Pm 3.99
Pm  0.6667  0.3333  0.3584  3 Dy 3.50, 6 Pm 3.76
Dy  0.3333  0.6667  0.6517  3 Pm 3.50, 6 Dy 3.76, 3 Sr 3.91



# SrPmDy2

SrPmDy2 after structural relaxation (GGA-PBE, the Alexandria database).

Computed properties:
As for the space group: P4/mmm, No. 123. As for the total energy: -3.71 eV per atom. The value obtained for the offset from the most stable computed form is 0.074 eV per atom.

a = 5.2344 Å, b = 5.2344 Å, c = 5.2231 Å
α = 90.00°, β = 90.00°, γ = 90.00°
With the nearest neighbours (Å) after each atom.
Atoms (fractional coordinates):
Sr  0.0000  0.0000  0.0000  8 Dy 3.70, 4 Pm 3.70
Pm  0.5000  0.5000  0.0000  8 Dy 3.70, 4 Sr 3.70
Dy  0.0000  0.5000  0.5000  4 Pm 3.70, 4 Sr 3.70, 4 Dy 3.70
Dy  0.5000  0.0000  0.5000  4 Pm 3.70, 4 Sr 3.70, 4 Dy 3.70



# SrPm4Dy

SrPm4Dy after structural relaxation (GGA-PBE, the Alexandria database).

Computed properties:
As for the space group: F-43m, No. 216. As for the total energy: -3.98 eV per atom.

a = 6.8463 Å, b = 6.8463 Å, c = 6.8463 Å
α = 60.00°, β = 60.00°, γ = 60.00°
With the nearest neighbours (Å) after each atom.
Atoms (fractional coordinates):
Sr  0.0000  0.0000  0.0000  12 Pm 4.02, 4 Dy 4.19
Pm  0.1342  0.6219  0.6219  6 Pm 3.34-3.51
Pm  0.6219  0.1342  0.6219  6 Pm 3.34-3.51
Pm  0.6219  0.6219  0.1342  6 Pm 3.34-3.51
Pm  0.6219  0.6219  0.6219  6 Pm 3.34-3.51
Dy  0.2500  0.2500  0.2500  12 Pm 4.01, 4 Sr 4.19



# SrPmDy2

SrPmDy2 after structural relaxation (GGA-PBE, the Alexandria database).

Computed properties:
As for the space group: P4/mmm, No. 123. As for the total energy: -3.78 eV per atom. The value obtained for the offset from the most stable computed form is 0.004 eV per atom.

a = 3.7086 Å, b = 3.7086 Å, c = 10.6243 Å
α = 90.00°, β = 90.00°, γ = 90.00°
With the nearest neighbours (Å) after each atom.
Atoms (fractional coordinates):
Sr  0.0000  0.0000  0.0000  4 Sr 3.71, 8 Dy 3.94
Pm  0.0000  0.0000  0.5000  8 Dy 3.54, 4 Pm 3.71
Dy  0.5000  0.5000  0.2768  4 Pm 3.54, 4 Dy 3.71, 4 Sr 3.94
Dy  0.5000  0.5000  0.7232  4 Pm 3.54, 4 Dy 3.71, 4 Sr 3.94



# SrPmDy

SrPmDy after structural relaxation (GGA-PBE, the Alexandria database).

Computed properties:
As for the space group: I4mm, No. 107. As for the total energy: -3.57 eV per atom. The value obtained for the offset from the most stable computed form is 0.000 eV per atom.

a = 8.5400 Å, b = 8.5400 Å, c = 8.5400 Å
α = 154.57°, β = 154.57°, γ = 36.28°
With the nearest neighbours (Å) after each atom.
Atoms (fractional coordinates):
Sr  0.0000  0.0000  0.0000  4 Sr 3.76, 4 Dy 3.93, 4 Pm 3.97
Pm  0.3185  0.3185  0.0000  4 Dy 3.50, 4 Pm 3.76
Dy  0.6784  0.6784  0.0000  4 Pm 3.50, 4 Dy 3.76



# SrPmDy2

SrPmDy2 after structural relaxation (GGA-PBE, the Alexandria database).

Computed properties:
As for the space group: R3m, No. 160. As for the total energy: -3.79 eV per atom. The value obtained for the offset from the most stable computed form is 0.000 eV per atom.

a = 12.3761 Å, b = 12.3761 Å, c = 12.3761 Å
α = 17.17°, β = 17.17°, γ = 17.17°
With the nearest neighbours (Å) after each atom.
Atoms (fractional coordinates):
Sr  0.0000  0.0000  0.0000  6 Sr 3.69, 6 Dy 3.88-3.91
Pm  0.1657  0.1657  0.1657  6 Dy 3.54-3.57, 6 Pm 3.69
Dy  0.5772  0.5772  0.5772  3 Pm 3.57, 6 Dy 3.69, 3 Sr 3.91
Dy  0.7551  0.7551  0.7551  3 Pm 3.54, 6 Dy 3.69, 3 Sr 3.88



# SrPm8Dy6

SrPm8Dy6 after structural relaxation (GGA-PBE, the Alexandria database).

Computed properties:
As for the space group: R-3, No. 148. As for the total energy: -4.28 eV per atom.

a = 8.3106 Å, b = 8.3106 Å, c = 8.3106 Å
α = 72.33°, β = 72.33°, γ = 72.33°
With the nearest neighbours (Å) after each atom.
Atoms (fractional coordinates):
Sr  0.0000  0.0000  0.0000  6 Pm 3.17
Pm  0.0536  0.3846  0.8595  1 Sr 3.17, 2 Pm 3.22-3.38, 4 Dy 3.40-3.53
Pm  0.1405  0.9464  0.6154  1 Sr 3.17, 2 Pm 3.22-3.38, 4 Dy 3.40-3.53
Pm  0.2395  0.2395  0.2395  6 Pm 3.38-3.65
Pm  0.3846  0.8595  0.0536  1 Sr 3.17, 2 Pm 3.22-3.38, 4 Dy 3.40-3.53
Pm  0.6154  0.1405  0.9464  1 Sr 3.17, 2 Pm 3.22-3.38, 4 Dy 3.40-3.53
Pm  0.7605  0.7605  0.7605  6 Pm 3.38-3.65
Pm  0.8595  0.0536  0.3846  1 Sr 3.17, 2 Pm 3.22-3.38, 4 Dy 3.40-3.53
Pm  0.9464  0.6154  0.1405  1 Sr 3.17, 2 Pm 3.22-3.38, 4 Dy 3.40-3.53
Dy  0.1756  0.6168  0.4350  7 Pm 3.40-3.80, 3 Dy 3.70-3.77
Dy  0.3832  0.5650  0.8244  7 Pm 3.40-3.80, 3 Dy 3.70-3.77
Dy  0.4350  0.1756  0.6168  7 Pm 3.40-3.80, 3 Dy 3.70-3.77
Dy  0.5650  0.8244  0.3832  7 Pm 3.40-3.80, 3 Dy 3.70-3.77
Dy  0.6168  0.4350  0.1756  7 Pm 3.40-3.80, 3 Dy 3.70-3.77
Dy  0.8244  0.3832  0.5650  7 Pm 3.40-3.80, 3 Dy 3.70-3.77



# SrPmDy2

SrPmDy2 after structural relaxation (GGA-PBE, the Alexandria database).

Computed properties:
As for the space group: R-3m, No. 166. As for the total energy: -3.69 eV per atom. The value obtained for the offset from the most stable computed form is 0.100 eV per atom.

a = 13.0032 Å, b = 13.0032 Å, c = 13.0032 Å
α = 16.06°, β = 16.06°, γ = 16.06°
With the nearest neighbours (Å) after each atom.
Atoms (fractional coordinates):
Sr  0.0000  0.0000  0.0000  2 Dy 3.56, 6 Sr 3.63
Pm  0.5000  0.5000  0.5000  6 Dy 3.55, 6 Pm 3.63
Dy  0.0923  0.0923  0.0923  3 Pm 3.55, 1 Sr 3.56, 6 Dy 3.63
Dy  0.9077  0.9077  0.9077  3 Pm 3.55, 1 Sr 3.56, 6 Dy 3.63



# SrPm2Dy3Te6

SrPm2Dy3Te6 after structural relaxation (GGA-PBE, the Alexandria database).

Computed properties:
As for the space group: C2/m, No. 12. As for the total energy: -5.04 eV per atom. The value obtained for the formation energy from raw total energies is -1.392 eV per atom.

a = 9.9737 Å, b = 9.9737 Å, c = 8.9471 Å
α = 103.71°, β = 103.71°, γ = 25.68°
With the nearest neighbours (Å) after each atom.
Atoms (fractional coordinates):
Sr  0.0000  0.0000  0.0000  6 Te 3.22-3.23
Pm  0.3271  0.3271  0.6533  6 Te 3.12-3.26
Pm  0.6729  0.6729  0.3467  6 Te 3.12-3.26
Dy  0.0000  0.0000  0.5000  6 Te 3.05-3.08
Dy  0.3342  0.3342  0.1777  6 Te 3.04-3.17
Dy  0.6658  0.6658  0.8223  6 Te 3.04-3.17
Te  0.1619  0.1619  0.5873  3 Dy 3.04-3.05, 3 Pm 3.12-3.13
Te  0.1714  0.1714  0.0781  3 Dy 3.07-3.17, 1 Sr 3.23, 2 Pm 3.26
Te  0.4994  0.4994  0.7386  3 Dy 3.08-3.14, 2 Sr 3.22, 1 Pm 3.25
Te  0.5006  0.5006  0.2614  3 Dy 3.08-3.14, 2 Sr 3.22, 1 Pm 3.25
Te  0.8286  0.8286  0.9219  3 Dy 3.07-3.17, 1 Sr 3.23, 2 Pm 3.26
Te  0.8381  0.8381  0.4127  3 Dy 3.04-3.05, 3 Pm 3.12-3.13



# SrPm3Dy2Te6

SrPm3Dy2Te6 after structural relaxation (GGA-PBE, the Alexandria database).

Computed properties:
As for the space group: C2/m, No. 12. As for the total energy: -5.07 eV per atom. The value obtained for the formation energy from raw total energies is -1.402 eV per atom.

a = 9.9979 Å, b = 9.9979 Å, c = 8.9896 Å
α = 103.61°, β = 103.61°, γ = 25.71°
With the nearest neighbours (Å) after each atom.
Atoms (fractional coordinates):
Sr  0.0000  0.0000  0.0000  6 Te 3.19-3.24
Pm  0.0000  0.0000  0.5000  6 Te 3.14-3.17
Pm  0.3386  0.3386  0.1821  6 Te 3.14-3.27
Pm  0.6614  0.6614  0.8179  6 Te 3.14-3.27
Dy  0.3303  0.3303  0.6598  6 Te 3.07-3.18
Dy  0.6697  0.6697  0.3402  6 Te 3.07-3.18
Te  0.1675  0.1675  0.5747  3 Dy 3.07-3.08, 3 Pm 3.14-3.17
Te  0.1712  0.1712  0.0884  3 Pm 3.17-3.27, 2 Dy 3.18, 1 Sr 3.24
Te  0.4941  0.4941  0.7426  1 Dy 3.10, 3 Pm 3.14-3.17, 2 Sr 3.19
Te  0.5059  0.5059  0.2574  1 Dy 3.10, 3 Pm 3.14-3.17, 2 Sr 3.19
Te  0.8288  0.8288  0.9116  3 Pm 3.17-3.27, 2 Dy 3.18, 1 Sr 3.24
Te  0.8325  0.8325  0.4253  3 Dy 3.07-3.08, 3 Pm 3.14-3.17



# Pm2DyTa

Pm2DyTa after structural relaxation (GGA-PBE, the Alexandria database).

Computed properties:
As for the space group: R-3m, No. 166. As for the total energy: -5.84 eV per atom.

a = 12.0450 Å, b = 12.0450 Å, c = 12.0450 Å
α = 15.79°, β = 15.79°, γ = 15.79°
With the nearest neighbours (Å) after each atom.
Atoms (fractional coordinates):
Pm  0.0825  0.0825  0.0825  1 Ta 2.94
Pm  0.9175  0.9175  0.9175  1 Ta 2.94
Dy  0.5000  0.5000  0.5000  6 Dy 3.31, 6 Pm 3.56
Ta  0.0000  0.0000  0.0000  2 Pm 2.94



# PmDy2Ta

PmDy2Ta after structural relaxation (GGA-PBE, the Alexandria database).

Computed properties:
As for the space group: R-3m, No. 166. As for the total energy: -5.83 eV per atom.

a = 11.9635 Å, b = 11.9635 Å, c = 11.9635 Å
α = 15.79°, β = 15.79°, γ = 15.79°
With the nearest neighbours (Å) after each atom.
Atoms (fractional coordinates):
Pm  0.0000  0.0000  0.0000  6 Pm 3.29, 6 Dy 3.54
Dy  0.4176  0.4176  0.4176  1 Ta 2.92
Dy  0.5824  0.5824  0.5824  1 Ta 2.92
Ta  0.5000  0.5000  0.5000  2 Dy 2.92



Number 1: calculated density 7896 kg/m³, density of states at the Fermi level 1.027 states/eV per atom. Number 2: calculated density 5742 kg/m³, density of states at the Fermi level 1.402 states/eV per atom. Number 3: calculated density 6470 kg/m³, density of states at the Fermi level 1.729 states/eV per atom. Number 4: calculated density 6075 kg/m³, density of states at the Fermi level 1.412 states/eV per atom. Number 5: calculated density 6337 kg/m³, density of states at the Fermi level 1.590 states/eV per atom. Number 6: calculated density 5719 kg/m³, density of states at the Fermi level 1.396 states/eV per atom. Number 7: calculated density 6427 kg/m³, density of states at the Fermi level 1.409 states/eV per atom. Number 8: calculated density 7282 kg/m³, density of states at the Fermi level 1.362 states/eV per atom. Number 9: calculated density 6317 kg/m³, density of states at the Fermi level 1.530 states/eV per atom. Number 10: calculated density 7239 kg/m³, density of states at the Fermi level 0.471 states/eV per atom. Number 11: calculated density 7081 kg/m³, density of states at the Fermi level 0.486 states/eV per atom. Number 12: calculated density 9329 kg/m³, density of states at the Fermi level 1.610 states/eV per atom. Number 13: calculated density 9781 kg/m³, density of states at the Fermi level 1.422 states/eV per atom.